Entry 1:
# Ni8IrPt3 PBE relaxed
# * DFT formation energy: 5.48 eV/f.u.
# * N(E_F): 23.27 states/eV/f.u.
data_Ni8IrPt3
_cell_length_a 5.7033
_cell_length_b 5.7033
_cell_length_c 11.3665
_cell_angle_alpha 90.00
_cell_angle_beta 90.00
_cell_angle_gamma 90.00
_space_group_name_H-M_alt 'I 4/m m m'
_space_group_IT_number 139
_space_group_name_Hall '-I 4 2'
loop_
_atom_site_label
_atom_site_type_symbol
_atom_site_fract_x
_atom_site_fract_y
_atom_site_fract_z
_atom_site_occupancy
Ni1 Ni 0.2457 0.2457 0.1230 1
Ir1 Ir 0.0000 0.0000 0.0000 1
Pt1 Pt 0.0000 0.0000 0.5000 1
Pt2 Pt 0.0000 0.5000 0.2500 1

***

Entry 2:
# Ni2IrPt2 PBE relaxed
# * DFT formation energy: 0.02 eV/f.u.
# * N(E_F): 10.05 states/eV/f.u.
data_Ni2IrPt2
_cell_length_a 2.7154
_cell_length_b 2.7154
_cell_length_c 32.5325
_cell_angle_alpha 90.00
_cell_angle_beta 90.00
_cell_angle_gamma 120.00
_space_group_name_H-M_alt 'R -3 m'
_space_group_IT_number 166
_space_group_name_Hall '-R 3 2"'
loop_
_atom_site_label
_atom_site_type_symbol
_atom_site_fract_x
_atom_site_fract_y
_atom_site_fract_z
_atom_site_occupancy
Ni1 Ni 0.0000 0.0000 0.1032 1
Ir1 Ir 0.0000 0.0000 0.5000 1
Pt1 Pt 0.0000 0.0000 0.3708 1

***

Entry 3:
# Ni2IrPt8 PBE relaxed
# * DFT formation energy: 0.56 eV/f.u.
# * N(E_F): 18.14 states/eV/f.u.
data_Ni2IrPt8
_cell_length_a 3.9249
_cell_length_b 7.2588
_cell_length_c 11.8213
_cell_angle_alpha 90.00
_cell_angle_beta 90.00
_cell_angle_gamma 90.00
_space_group_name_H-M_alt 'I m m m'
_space_group_IT_number 71
_space_group_name_Hall '-I 2 2'
loop_
_atom_site_label
_atom_site_type_symbol
_atom_site_fract_x
_atom_site_fract_y
_atom_site_fract_z
_atom_site_occupancy
Ni1 Ni 0.0000 0.0000 0.1793 1
Ir1 Ir 0.0000 0.0000 0.5000 1
Pt1 Pt 0.0000 0.2034 0.0000 1
Pt2 Pt 0.0000 0.2682 0.3387 1
Pt3 Pt 0.0000 0.5000 0.1571 1